[1]
Ac2Pm3Y7 after structural relaxation, computed with PBE.

The total magnetic moment is 0.1 μB per formula unit. As for the formation energy: 0.102 eV per atom. For the total energy, the calculation gives -66.5 eV for the cell shown.

```
Ac2Pm3Y7
1.0
3.6275 0.0000 0.0000
0.0000 6.5127 -0.0378
0.0000 0.1748 17.7834
Ac Pm Y
2 3 7
direct
0.5000 0.5005 0.3253 Ac
0.5000 0.4995 0.6747 Ac
0.5000 0.5000 0.0000 Pm
0.0000 0.9946 0.3388 Pm
0.0000 0.0054 0.6612 Pm
0.5000 0.2407 0.5013 Y
0.5000 0.7593 0.4987 Y
0.0000 0.6760 0.1602 Y
0.0000 0.0000 0.0000 Y
0.0000 0.3240 0.8398 Y
0.5000 0.8298 0.8380 Y
0.5000 0.1702 0.1620 Y
```

[2]
Hf2CoGe3 after structural relaxation, computed with PBE.

The total magnetic moment is 0.0 μB per formula unit. As for the formation energy: -0.252 eV per atom. For the total energy, the calculation gives -42.4 eV for the cell shown.

```
Hf2CoGe3
1.0
-0.0342 -2.3533 3.1593
4.4135 -2.6235 -1.9064
0.7906 5.7260 1.8174
Hf Co Ge
2 1 3
direct
0.6844 0.1844 0.3687 Hf
0.3156 0.8156 0.6313 Hf
0.0000 0.5000 0.0000 Co
0.3661 0.3661 0.7322 Ge
0.0000 0.0000 0.0000 Ge
0.6339 0.6339 0.2678 Ge
```